1.
# HfBP2O, optimized geometry, DFT PBE
data_HfBP2O
_chemical_formula_sum 'Hf1 B1 P2 O1'
_cell_length_a 5.134
_cell_length_b 5.134
_cell_length_c 3.911
_cell_angle_alpha 90.00
_cell_angle_beta 90.00
_cell_angle_gamma 90.00
_symmetry_space_group_name_H-M 'P 4/m m m'
_symmetry_Int_Tables_number 123
_symmetry_space_group_name_Hall '-P 4 2'
loop_
_atom_site_label
_atom_site_type_symbol
_atom_site_fract_x
_atom_site_fract_y
_atom_site_fract_z
Hf1 Hf 0.000 0.000 0.000
B1 B 0.500 0.500 0.500
P1 P 0.000 0.500 0.000
O1 O 0.000 0.000 0.500
# - Total DFT energy (no corrections): -6.0202 eV per atom
# - Calculated density: 4.30 g cm⁻³

2.
# YTeSN2, optimized geometry, DFT PBE
data_YTeSN2
_chemical_formula_sum 'Y1 Te1 S1 N2'
_cell_length_a 4.485
_cell_length_b 4.485
_cell_length_c 5.557
_cell_angle_alpha 90.00
_cell_angle_beta 90.00
_cell_angle_gamma 90.00
_symmetry_space_group_name_H-M 'P 4/m m m'
_symmetry_Int_Tables_number 123
_symmetry_space_group_name_Hall '-P 4 2'
loop_
_atom_site_label
_atom_site_type_symbol
_atom_site_fract_x
_atom_site_fract_y
_atom_site_fract_z
Y1 Y 0.000 0.000 0.000
Te1 Te 0.500 0.500 0.500
S1 S 0.000 0.000 0.500
N1 N 0.000 0.500 0.000
# - Total DFT energy (no corrections): -5.2617 eV per atom
# - Calculated density: 4.11 g cm⁻³

3.
# Rb2Zn4Au5, optimized geometry, DFT PBE
data_Rb2Zn4Au5
_chemical_formula_sum 'Rb8 Zn16 Au20'
_cell_length_a 6.242
_cell_length_b 11.052
_cell_length_c 15.327
_cell_angle_alpha 90.00
_cell_angle_beta 90.00
_cell_angle_gamma 90.00
_symmetry_space_group_name_H-M 'F m m m'
_symmetry_Int_Tables_number 69
_symmetry_space_group_name_Hall '-F 2 2'
loop_
_atom_site_label
_atom_site_type_symbol
_atom_site_fract_x
_atom_site_fract_y
_atom_site_fract_z
Rb1 Rb 0.000 0.000 0.134
Zn1 Zn 0.000 0.163 0.374
Au1 Au 0.000 0.000 0.500
Au2 Au 0.250 0.250 0.000
Au3 Au 0.250 0.250 0.250
# - Calculated formation energy: -2.24 eV per formula unit
# - Total DFT energy (no corrections): -2.3328 eV per atom
# - Calculated density: 8.90 g cm⁻³

4.
# RbBaIn2I, optimized geometry, DFT PBE
data_RbBaIn2I
_chemical_formula_sum 'Rb1 Ba1 In2 I1'
_cell_length_a 6.416
_cell_length_b 6.416
_cell_length_c 12.758
_cell_angle_alpha 90.00
_cell_angle_beta 90.00
_cell_angle_gamma 90.00
_symmetry_space_group_name_H-M 'P 4/m m m'
_symmetry_Int_Tables_number 123
_symmetry_space_group_name_Hall '-P 4 2'
loop_
_atom_site_label
_atom_site_type_symbol
_atom_site_fract_x
_atom_site_fract_y
_atom_site_fract_z
Rb1 Rb 0.000 0.000 0.000
Ba1 Ba 0.000 0.000 0.500
In1 In 0.000 0.500 0.500
I1 I 0.500 0.500 0.000
# - Total DFT energy (no corrections): -1.7587 eV per atom
# - Calculated density: 1.83 g cm⁻³

5.
# PAuCl7, optimized geometry, DFT PBE
data_PAuCl7
_chemical_formula_sum 'P2 Au2 Cl14'
_cell_length_a 7.922
_cell_length_b 8.234
_cell_length_c 9.975
_cell_angle_alpha 79.40
_cell_angle_beta 84.98
_cell_angle_gamma 79.75
_symmetry_space_group_name_H-M 'P -1'
_symmetry_Int_Tables_number 2
loop_
_symmetry_equiv_pos_as_xyz
'x,y,z'
'-x,-y,-z'
loop_
_atom_site_label
_atom_site_type_symbol
_atom_site_fract_x
_atom_site_fract_y
_atom_site_fract_z
P1 P 0.235 0.300 0.228
Au1 Au 0.406 0.078 0.695
Cl1 Cl 0.009 0.333 0.339
Cl2 Cl 0.115 0.131 0.749
Cl3 Cl 0.173 0.242 0.053
Cl4 Cl 0.282 0.540 0.175
Cl5 Cl 0.299 0.975 0.358
Cl6 Cl 0.393 0.345 0.572
Cl7 Cl 0.421 0.805 0.816
# - Total DFT energy (no corrections): -2.8115 eV per atom
# - Calculated density: 2.52 g cm⁻³

6.
# BePb2N, optimized geometry, DFT PBE
data_BePb2N
_chemical_formula_sum 'Be4 Pb8 N4'
_cell_length_a 6.712
_cell_length_b 6.712
_cell_length_c 6.712
_cell_angle_alpha 90.00
_cell_angle_beta 90.00
_cell_angle_gamma 90.00
_symmetry_space_group_name_H-M 'F m -3 m'
_symmetry_Int_Tables_number 225
_symmetry_space_group_name_Hall '-F 4 2 3'
loop_
_atom_site_label
_atom_site_type_symbol
_atom_site_fract_x
_atom_site_fract_y
_atom_site_fract_z
Be1 Be 0.000 0.000 0.000
Pb1 Pb 0.250 0.250 0.250
N1 N 0.000 0.000 0.500
# - Total DFT energy (no corrections): -3.6213 eV per atom
# - Calculated density: 9.61 g cm⁻³

7.
# Al2PbO4, optimized geometry, DFT PBE
data_Al2PbO4
_chemical_formula_sum 'Al8 Pb4 O16'
_cell_length_a 5.168
_cell_length_b 9.322
_cell_length_c 8.580
_cell_angle_alpha 90.00
_cell_angle_beta 90.01
_cell_angle_gamma 90.00
_symmetry_space_group_name_H-M 'C 1 c 1'
_symmetry_Int_Tables_number 9
loop_
_symmetry_equiv_pos_as_xyz
'x,y,z'
'x,-y,z+1/2'
'x+1/2,y+1/2,z'
'x+1/2,-y+1/2,z+1/2'
loop_
_atom_site_label
_atom_site_type_symbol
_atom_site_fract_x
_atom_site_fract_y
_atom_site_fract_z
Al1 Al 0.000 0.172 0.000
Al2 Al 0.000 0.172 0.391
Pb1 Pb 0.468 0.032 0.196
O1 O 0.110 0.000 0.446
O2 O 0.114 0.186 0.196
O3 O 0.159 0.308 0.892
O4 O 0.159 0.309 0.499
# - Total DFT energy (no corrections): -6.9284 eV per atom
# - Calculated density: 5.23 g cm⁻³

8.
# KHf3Tc, optimized geometry, DFT PBE
data_KHf3Tc
_chemical_formula_sum 'K1 Hf3 Tc1'
_cell_length_a 5.148
_cell_length_b 5.148
_cell_length_c 5.148
_cell_angle_alpha 90.00
_cell_angle_beta 90.00
_cell_angle_gamma 90.00
_symmetry_space_group_name_H-M 'P m -3 m'
_symmetry_Int_Tables_number 221
_symmetry_space_group_name_Hall '-P 4 2 3'
loop_
_atom_site_label
_atom_site_type_symbol
_atom_site_fract_x
_atom_site_fract_y
_atom_site_fract_z
K1 K 0.000 0.000 0.000
Hf1 Hf 0.000 0.500 0.500
Tc1 Tc 0.500 0.500 0.500
# - Calculated formation energy: 3.20 eV per formula unit
# - Total DFT energy (no corrections): -7.6243 eV per atom
# - Calculated density: 8.19 g cm⁻³

9.
# Tb2Nd2Th, optimized geometry, DFT PBE
data_Tb2Nd2Th
_chemical_formula_sum 'Tb6 Nd6 Th3'
_cell_length_a 3.6179
_cell_length_b 3.6179
_cell_length_c 44.0179
_cell_angle_alpha 90.00
_cell_angle_beta 90.00
_cell_angle_gamma 120.00
_symmetry_space_group_name_H-M 'R -3 m'
_symmetry_Int_Tables_number 166
_symmetry_space_group_name_Hall '-R 3 2"'
loop_
_atom_site_label
_atom_site_type_symbol
_atom_site_fract_x
_atom_site_fract_y
_atom_site_fract_z
Tb1 Tb 0.0000 0.0000 0.1027
Nd1 Nd 0.0000 0.0000 0.2994
Th1 Th 0.0000 0.0000 0.5000
# - Calculated formation energy: 0.07 eV per formula unit
# - Total DFT energy (no corrections): -5.2293 eV per atom
# - Calculated density: 8.37 g cm⁻³

10.
# PrY3Tl3, optimized geometry, DFT PBE
data_PrY3Tl3
_chemical_formula_sum 'Pr2 Y6 Tl6'
_cell_length_a 9.5486
_cell_length_b 9.5486
_cell_length_c 5.2569
_cell_angle_alpha 90.00
_cell_angle_beta 90.00
_cell_angle_gamma 120.00
_symmetry_space_group_name_H-M 'P 63/m'
_symmetry_Int_Tables_number 176
_symmetry_space_group_name_Hall '-P 6c'
loop_
_atom_site_label
_atom_site_type_symbol
_atom_site_fract_x
_atom_site_fract_y
_atom_site_fract_z
Pr1 Pr 0.3333 0.6667 0.2500
Y1 Y 0.0021 0.2350 0.7500
Tl1 Tl 0.0696 0.6226 0.7500
# - Calculated formation energy: -1.93 eV per formula unit
# - Total DFT energy (no corrections): -4.7430 eV per atom
# - Calculated density: 8.17 g cm⁻³

11.
# Ac2TbSb2O2, optimized geometry, DFT PBE
data_Ac2TbSb2O2
_chemical_formula_sum 'Ac4 Tb2 Sb4 O4'
_cell_length_a 4.535
_cell_length_b 4.535
_cell_length_c 17.065
_cell_angle_alpha 90.00
_cell_angle_beta 90.00
_cell_angle_gamma 90.00
_symmetry_space_group_name_H-M 'I 4/m m m'
_symmetry_Int_Tables_number 139
_symmetry_space_group_name_Hall '-I 4 2'
loop_
_atom_site_label
_atom_site_type_symbol
_atom_site_fract_x
_atom_site_fract_y
_atom_site_fract_z
Ac1 Ac 0.000 0.000 0.116
Tb1 Tb 0.000 0.000 0.500
Sb1 Sb 0.000 0.000 0.314
O1 O 0.000 0.500 0.000
# - Total DFT energy (no corrections): -6.4378 eV per atom
# - Calculated density: 8.41 g cm⁻³

12.
# LiGaS2N, optimized geometry, DFT PBE
data_LiGaS2N
_chemical_formula_sum 'Li1 Ga1 S2 N1'
_cell_length_a 4.934
_cell_length_b 4.934
_cell_length_c 3.801
_cell_angle_alpha 90.00
_cell_angle_beta 90.00
_cell_angle_gamma 90.00
_symmetry_space_group_name_H-M 'P 4/m m m'
_symmetry_Int_Tables_number 123
_symmetry_space_group_name_Hall '-P 4 2'
loop_
_atom_site_label
_atom_site_type_symbol
_atom_site_fract_x
_atom_site_fract_y
_atom_site_fract_z
Li1 Li 0.000 0.000 0.000
Ga1 Ga 0.500 0.500 0.500
S1 S 0.000 0.500 0.500
N1 N 0.500 0.500 0.000
# - Total DFT energy (no corrections): -3.9133 eV per atom
# - Calculated density: 2.78 g cm⁻³

13.
# LiCaTl, optimized geometry, DFT PBE
data_LiCaTl
_chemical_formula_sum 'Li4 Ca4 Tl4'
_cell_length_a 6.957
_cell_length_b 6.957
_cell_length_c 6.957
_cell_angle_alpha 90.00
_cell_angle_beta 90.00
_cell_angle_gamma 90.00
_symmetry_space_group_name_H-M 'F -4 3 m'
_symmetry_Int_Tables_number 216
_symmetry_space_group_name_Hall 'F -4 2 3'
loop_
_atom_site_label
_atom_site_type_symbol
_atom_site_fract_x
_atom_site_fract_y
_atom_site_fract_z
Li1 Li 0.000 0.000 0.000
Ca1 Ca 0.250 0.250 0.250
Tl1 Tl 0.250 0.250 0.750
# - Calculated formation energy: -0.22 eV per formula unit
# - Total DFT energy (no corrections): -2.1665 eV per atom
# - Calculated density: 4.96 g cm⁻³

14.
# La2PmAg, optimized geometry, DFT PBE
data_La2PmAg
_chemical_formula_sum 'La8 Pm4 Ag4'
_cell_length_a 7.213
_cell_length_b 10.822
_cell_length_c 6.651
_cell_angle_alpha 90.00
_cell_angle_beta 90.00
_cell_angle_gamma 90.00
_symmetry_space_group_name_H-M 'P n m a'
_symmetry_Int_Tables_number 62
loop_
_symmetry_equiv_pos_as_xyz
'x,y,z'
'-x,-y,-z'
'-x+1/2,-y,z+1/2'
'x+1/2,y,-z+1/2'
'x+1/2,-y+1/2,-z+1/2'
'-x+1/2,y+1/2,z+1/2'
'-x,y+1/2,-z'
'x,-y+1/2,z'
loop_
_atom_site_label
_atom_site_type_symbol
_atom_site_fract_x
_atom_site_fract_y
_atom_site_fract_z
La1 La 0.196 0.045 0.164
Pm1 Pm 0.018 0.250 0.638
Ag1 Ag 0.104 0.750 0.913
# - Calculated formation energy: -0.36 eV per formula unit
# - Total DFT energy (no corrections): -4.4535 eV per atom
# - Calculated density: 6.79 g cm⁻³

15.
# SmY2Ir, optimized geometry, DFT PBE
data_SmY2Ir
_chemical_formula_sum 'Sm3 Y6 Ir3'
_cell_length_a 3.7692
_cell_length_b 3.7692
_cell_length_c 31.6980
_cell_angle_alpha 90.00
_cell_angle_beta 90.00
_cell_angle_gamma 120.00
_symmetry_space_group_name_H-M 'R -3 m'
_symmetry_Int_Tables_number 166
_symmetry_space_group_name_Hall '-R 3 2"'
loop_
_atom_site_label
_atom_site_type_symbol
_atom_site_fract_x
_atom_site_fract_y
_atom_site_fract_z
Sm1 Sm 0.0000 0.0000 0.0000
Y1 Y 0.0000 0.0000 0.1139
Ir1 Ir 0.0000 0.0000 0.5000
# - Calculated formation energy: -0.49 eV per formula unit
# - Total DFT energy (no corrections): -6.7497 eV per atom
# - Calculated density: 6.65 g cm⁻³

16.
# Ac3Te2Br2, optimized geometry, DFT PBE
data_Ac3Te2Br2
_chemical_formula_sum 'Ac6 Te4 Br4'
_cell_length_a 15.031
_cell_length_b 4.620
_cell_length_c 7.669
_cell_angle_alpha 90.00
_cell_angle_beta 98.25
_cell_angle_gamma 90.00
_symmetry_space_group_name_H-M 'C 1 2/m 1'
_symmetry_Int_Tables_number 12
loop_
_symmetry_equiv_pos_as_xyz
'x,y,z'
'-x,-y,-z'
'-x,y,-z'
'x,-y,z'
'x+1/2,y+1/2,z'
'-x+1/2,-y+1/2,-z'
'-x+1/2,y+1/2,-z'
'x+1/2,-y+1/2,z'
loop_
_atom_site_label
_atom_site_type_symbol
_atom_site_fract_x
_atom_site_fract_y
_atom_site_fract_z
Ac1 Ac 0.000 0.000 0.000
Ac2 Ac 0.245 0.500 0.236
Te1 Te 0.119 0.000 0.389
Br1 Br 0.113 0.500 0.849
# - Total DFT energy (no corrections): -4.5390 eV per atom
# - Calculated density: 6.91 g cm⁻³

17.
# Pr2YZn3, optimized geometry, DFT PBE
data_Pr2YZn3
_chemical_formula_sum 'Pr2 Y1 Zn3'
_cell_length_a 3.658
_cell_length_b 3.658
_cell_length_c 11.082
_cell_angle_alpha 90.00
_cell_angle_beta 90.00
_cell_angle_gamma 90.00
_symmetry_space_group_name_H-M 'P 4/m m m'
_symmetry_Int_Tables_number 123
_symmetry_space_group_name_Hall '-P 4 2'
loop_
_atom_site_label
_atom_site_type_symbol
_atom_site_fract_x
_atom_site_fract_y
_atom_site_fract_z
Pr1 Pr 0.000 0.000 0.171
Y1 Y 0.000 0.000 0.500
Zn1 Zn 0.500 0.500 0.000
Zn2 Zn 0.500 0.500 0.347
# - Calculated formation energy: -1.87 eV per formula unit
# - Total DFT energy (no corrections): -3.6198 eV per atom
# - Calculated density: 6.35 g cm⁻³

18.
# KTeBr2, optimized geometry, DFT PBE
data_KTeBr2
_chemical_formula_sum 'K2 Te2 Br4'
_cell_length_a 7.984
_cell_length_b 7.998
_cell_length_c 3.716
_cell_angle_alpha 90.00
_cell_angle_beta 90.00
_cell_angle_gamma 90.00
_symmetry_space_group_name_H-M 'C m m m'
_symmetry_Int_Tables_number 65
_symmetry_space_group_name_Hall '-C 2 2'
loop_
_atom_site_label
_atom_site_type_symbol
_atom_site_fract_x
_atom_site_fract_y
_atom_site_fract_z
K1 K 0.000 0.000 0.000
Te1 Te 0.000 0.500 0.000
Br1 Br 0.250 0.250 0.500
# - Total DFT energy (no corrections): -2.4793 eV per atom
# - Calculated density: 4.57 g cm⁻³

19.
# ZnCu2Te, optimized geometry, DFT PBE
data_ZnCu2Te
_chemical_formula_sum 'Zn2 Cu4 Te2'
_cell_length_a 7.479
_cell_length_b 4.232
_cell_length_c 4.901
_cell_angle_alpha 90.00
_cell_angle_beta 99.19
_cell_angle_gamma 90.00
_symmetry_space_group_name_H-M 'C 1 m 1'
_symmetry_Int_Tables_number 8
loop_
_symmetry_equiv_pos_as_xyz
'x,y,z'
'x,-y,z'
'x+1/2,y+1/2,z'
'x+1/2,-y+1/2,z'
loop_
_atom_site_label
_atom_site_type_symbol
_atom_site_fract_x
_atom_site_fract_y
_atom_site_fract_z
Zn1 Zn 0.000 0.000 0.000
Cu1 Cu 0.139 0.500 0.883
Cu2 Cu 0.289 0.000 0.735
Te1 Te 0.273 0.500 0.409
# - Total DFT energy (no corrections): -3.0668 eV per atom
# - Calculated density: 6.94 g cm⁻³

Ordered volume results: 103.08, 111.76, 1057.39, 525.13, 628.29, 302.32, 413.32, 136.45, 498.97, 415.09, 351.04, 92.52, 336.70, 519.14, 390.00, 527.04, 148.25, 237.27, 153.14; unit Å³ per cell.